A geometry-optimized Ag2Te6As structure. Source: the Alexandria database, functional GGA-PBE.

The space-group type is C2/c. The value obtained for the uncorrected formation energy is 1.35 kcal/mol of atoms. For the size of the total moment, the calculation gives 0.0 Bohr magnetons per cell.

Cell lengths 7.312, 9.518, 9.518 Å; angles 99.83, 70.56, 70.56 degrees
Fractional positions:
Te (0.588, 0.290, 0.538)
Ag (0.864, 0.357, 0.305)
Te (0.412, 0.710, 0.462)
Te (0.909, 0.171, 0.022)
Te (0.088, 0.538, 0.290)
Ag (0.364, 0.305, 0.357)
Te (0.912, 0.462, 0.710)
Te (0.409, 0.022, 0.171)
As (0.250, 0.186, 0.814)
Te (0.168, 0.037, 0.555)
Ag (0.636, 0.695, 0.643)
Ag (0.136, 0.643, 0.695)
Te (0.591, 0.978, 0.829)
Te (0.832, 0.963, 0.445)
Te (0.332, 0.445, 0.963)
Te (0.668, 0.555, 0.037)
As (0.750, 0.814, 0.186)
Te (0.091, 0.829, 0.978)